1.
# BaTa2Br

A relaxed BaTa2Br crystal (PBE-GGA, the Alexandria database).

Lattice parameters (Å, degrees): 6.474 6.474 6.474 150.33 120.07 68.29
Fractional positions:
Ba  0.495  0.495  0.000
Br  0.205  0.705  0.500
Ta  0.992  0.992  0.000
Ta  0.808  0.308  0.500

Summary:
Distance to the lowest polymorph of the same formula in meV/atom: 612
E in eV/atom: -6.082
Mass density in g/cm3: 8.37
Formation energy (no corrections) in meV per atom: 743



2.
# Li2TbCd3

A relaxed Li2TbCd3 crystal (PBE-GGA, the Alexandria database).

Lattice parameters (Å, degrees): 3.450 3.450 10.647 90.00 90.00 90.00
Fractional positions:
Li  0.500  0.500  0.848
Li  0.500  0.500  0.152
Tb  0.500  0.500  0.500
Cd  0.000  0.000  0.000
Cd  0.000  0.000  0.704
Cd  0.000  0.000  0.296

Summary:
Distance to the lowest polymorph of the same formula in meV/atom: 0
ΔH_f (0 K) in meV per atom: -266
E in eV/atom: -2.133
Mass density in g/cm3: 6.68



3.
# Re2PRu

A relaxed Re2PRu crystal (PBE-GGA, the Alexandria database).

Lattice parameters (Å, degrees): 5.129 5.129 5.129 147.19 129.67 61.39
Fractional positions:
Re  0.716  0.716  0.000
Re  0.284  0.284  0.000
P  0.500  0.000  0.500
Ru  0.000  0.500  0.500

Summary:
ΔH_f (0 K) in meV per atom: -88
E in eV/atom: -9.984
Mass density in g/cm3: 15.03



4.
# Ca2Cu2Rh

A relaxed Ca2Cu2Rh crystal (PBE-GGA, the Alexandria database).

Lattice parameters (Å, degrees): 5.302 5.302 8.218 79.39 79.39 62.20
Fractional positions:
Ca  0.478  0.218  0.156
Ca  0.782  0.522  0.344
Ca  0.522  0.782  0.844
Ca  0.218  0.478  0.656
Cu  0.744  0.000  0.501
Cu  0.000  0.256  0.999
Cu  0.256  0.000  0.499
Cu  0.000  0.744  0.001
Rh  0.138  0.862  0.250
Rh  0.862  0.138  0.750

Summary:
Distance to the lowest polymorph of the same formula in meV/atom: 22
ΔH_f (0 K) in meV per atom: -246
E in eV/atom: -4.155
Mass density in g/cm3: 5.16



5.
# CaMgP2Rh5

A relaxed CaMgP2Rh5 crystal (PBE-GGA, the Alexandria database).

Lattice parameters (Å, degrees): 4.125 4.125 8.335 90.00 90.00 90.00
Fractional positions:
Ca  0.000  0.000  0.500
Mg  0.000  0.000  0.000
P  0.500  0.500  0.134
P  0.500  0.500  0.866
Rh  0.000  0.500  0.249
Rh  0.500  0.000  0.249
Rh  0.000  0.500  0.751
Rh  0.500  0.000  0.751
Rh  0.500  0.500  0.500

Summary:
ΔH_f (0 K) in meV per atom: -589
E in eV/atom: -6.275
Mass density in g/cm3: 7.50



6.
# LaTbEr2Tm5

A relaxed LaTbEr2Tm5 crystal (PBE-GGA, the Alexandria database).

Lattice parameters (Å, degrees): 8.932 8.932 9.609 117.70 117.70 90.00
Fractional positions:
La  0.250  0.250  0.500
La  0.750  0.750  0.500
Tb  0.250  0.750  0.500
Tb  0.750  0.250  0.500
Er  0.112  0.388  0.000
Er  0.612  0.112  0.000
Er  0.388  0.888  0.000
Er  0.888  0.612  0.000
Tm  0.925  0.425  0.258
Tm  0.667  0.167  0.742
Tm  0.075  0.575  0.742
Tm  0.167  0.075  0.742
Tm  0.575  0.667  0.742
Tm  0.833  0.925  0.258
Tm  0.425  0.333  0.258
Tm  0.333  0.833  0.258
Tm  0.500  0.500  0.000
Tm  0.000  0.000  0.000

Summary:
ΔH_f (0 K) in meV per atom: 289
E in eV/atom: -4.271
Mass density in g/cm3: 8.49